# PrTl2InTe4 (meta-GGA SCAN, PBEsol geometry)
# total magnetic moment: 0.000 μB per atom
# density: 7.829 Mg/m³
# E_form (uncorrected): -66.8 kJ per mole of atoms
data_PrTl2InTe4
_symmetry_space_group_name_H-M 'I -4 2 m'
_symmetry_Int_Tables_number 121
_symmetry_space_group_name_Hall 'I -4 2'
_cell_length_a 8.078
_cell_length_b 8.078
_cell_length_c 7.638
_cell_angle_alpha 90.00
_cell_angle_beta 90.00
_cell_angle_gamma 90.00
loop_
_atom_site_label
_atom_site_type_symbol
_atom_site_fract_x
_atom_site_fract_y
_atom_site_fract_z
_atom_site_occupancy
Pr1 Pr 0.000 0.000 0.000 1
Tl1 Tl 0.000 0.500 0.000 1
In1 In 0.000 0.000 0.500 1
Te1 Te 0.200 0.200 0.280 1

---

# USi2Ru2 (meta-GGA SCAN, PBEsol geometry)
# total magnetic moment: 0.406 μB per atom
# density: 10.408 Mg/m³
# E_form (uncorrected): -65.1 kJ per mole of atoms
data_USi2Ru2
_symmetry_space_group_name_H-M 'I 4/m m m'
_symmetry_Int_Tables_number 139
_symmetry_space_group_name_Hall '-I 4 2'
_cell_length_a 4.093
_cell_length_b 4.093
_cell_length_c 9.456
_cell_angle_alpha 90.00
_cell_angle_beta 90.00
_cell_angle_gamma 90.00
loop_
_atom_site_label
_atom_site_type_symbol
_atom_site_fract_x
_atom_site_fract_y
_atom_site_fract_z
_atom_site_occupancy
U1 U 0.000 0.000 0.000 1
Si1 Si 0.000 0.000 0.375 1
Ru1 Ru 0.000 0.500 0.250 1

---

Q: E_form (uncorrected) of number 1 (PrTl2InTe4)?
A: -66.8 kJ per mole of atoms

---

Q: The lowest total magnetic moment belongs to which entry?
A: PrTl2InTe4

---

Q: Among the records above, which one has the highest density?
A: USi2Ru2

---

Q: What is the formula in the second record?
A: USi2Ru2